{"formula": "ScCr2ReF", "functional": "GGA+U", "state": "optimized geometry", "sg": "P4/mmm, No. 123", "cell": [[4.9956, 0.0000, 0.0000], [0.0000, 4.9956, 0.0000], [0.0000, 0.0000, 4.0595]], "species": ["Sc", "Cr", "Cr", "Re", "F"], "frac_coords": [[0.0000, 0.0000, 0.0000], [0.0000, 0.5000, 0.5000], [0.5000, 0.0000, 0.5000], [0.5000, 0.5000, 0.5000], [0.5000, 0.5000, 0.0000]]}



{"formula": "CrReSnF2", "functional": "GGA+U", "state": "optimized geometry", "sg": "P4/mmm, No. 123", "cell": [[3.8867, 0.0000, 0.0000], [0.0000, 3.8867, 0.0000], [0.0000, 0.0000, 5.1577]], "species": ["Cr", "Re", "Sn", "F", "F"], "frac_coords": [[0.0000, 0.0000, 0.0000], [0.0000, 0.0000, 0.5000], [0.5000, 0.5000, 0.5000], [0.0000, 0.5000, 0.0000], [0.5000, 0.0000, 0.0000]]}



{"formula": "SrCr2ReF", "functional": "GGA+U", "state": "optimized geometry", "sg": "P4/mmm, No. 123", "cell": [[4.8397, 0.0000, 0.0000], [0.0000, 4.8397, 0.0000], [0.0000, 0.0000, 4.3435]], "species": ["Sr", "Cr", "Cr", "Re", "F"], "frac_coords": [[0.0000, 0.0000, 0.0000], [0.0000, 0.5000, 0.5000], [0.5000, 0.0000, 0.5000], [0.5000, 0.5000, 0.0000], [0.5000, 0.5000, 0.5000]]}



{"formula": "ZnCr2ReF", "functional": "GGA+U", "state": "optimized geometry", "sg": "P4/mmm, No. 123", "cell": [[4.8670, 0.0000, 0.0000], [0.0000, 4.8670, 0.0000], [0.0000, 0.0000, 4.9206]], "species": ["Zn", "Cr", "Cr", "Re", "F"], "frac_coords": [[0.0000, 0.0000, 0.0000], [0.0000, 0.5000, 0.5000], [0.5000, 0.0000, 0.5000], [0.0000, 0.0000, 0.5000], [0.5000, 0.5000, 0.0000]]}



{"formula": "CrRh2F", "functional": "GGA+U", "state": "optimized geometry", "sg": "Fm-3m, No. 225", "cell": [[0.0000, 2.9414, 2.9414], [2.9414, 0.0000, 2.9414], [2.9414, 2.9414, 0.0000]], "species": ["Cr", "Rh", "Rh", "F"], "frac_coords": [[0.0000, 0.0000, 0.0000], [0.2500, 0.2500, 0.2500], [0.7500, 0.7500, 0.7500], [0.5000, 0.5000, 0.5000]]}



{"formula": "CrRhF", "functional": "GGA+U", "state": "optimized geometry", "sg": "Amm2, No. 38", "cell": [[13.4373, 0.0000, 0.0000], [0.0000, 1.4718, 2.4846], [0.0000, -1.4718, 2.4846]], "species": ["Cr", "Cr", "Rh", "Rh", "F", "F"], "frac_coords": [[0.0000, 0.0000, 0.0000], [0.5000, 0.3112, 0.3112], [0.1487, 0.3381, 0.3381], [0.8513, 0.3381, 0.3381], [0.4018, 0.8114, 0.8114], [0.5982, 0.8114, 0.8114]]}



{"formula": "Cr2RhF", "functional": "GGA+U", "state": "optimized geometry", "sg": "Fm-3m, No. 225", "cell": [[0.0000, 3.0385, 3.0385], [3.0385, 0.0000, 3.0385], [3.0385, 3.0385, 0.0000]], "species": ["Cr", "Cr", "Rh", "F"], "frac_coords": [[0.2500, 0.2500, 0.2500], [0.7500, 0.7500, 0.7500], [0.0000, 0.0000, 0.0000], [0.5000, 0.5000, 0.5000]]}



{"formula": "CrRh2F", "functional": "GGA+U", "state": "optimized geometry", "sg": "I-42d, No. 122", "cell": [[-3.1714, 3.1714, 2.7719], [3.1714, -3.1714, 2.7719], [3.1714, 3.1714, -2.7719]], "species": ["Cr", "Cr", "Rh", "Rh", "Rh", "Rh", "F", "F"], "frac_coords": [[0.0000, 0.0000, 0.0000], [0.7500, 0.2500, 0.5000], [0.1206, 0.6250, 0.9956], [0.3750, 0.3706, 0.4956], [0.6294, 0.1250, 0.0044], [0.8750, 0.8794, 0.5044], [0.2500, 0.7500, 0.5000], [0.5000, 0.5000, 0.0000]]}



{"formula": "Cr2RhF", "functional": "GGA+U", "state": "optimized geometry", "sg": "I-42d, No. 122", "cell": [[-3.1502, 3.1502, 3.2376], [3.1502, -3.1502, 3.2376], [3.1502, 3.1502, -3.2376]], "species": ["Cr", "Cr", "Cr", "Cr", "Rh", "Rh", "F", "F"], "frac_coords": [[0.0759, 0.6250, 0.9509], [0.3750, 0.3259, 0.4509], [0.6741, 0.1250, 0.0491], [0.8750, 0.9241, 0.5491], [0.2500, 0.7500, 0.5000], [0.5000, 0.5000, 0.0000], [0.0000, 0.0000, 0.0000], [0.7500, 0.2500, 0.5000]]}



{"formula": "Cr3RhF", "functional": "GGA+U", "state": "optimized geometry", "sg": "Pm-3m, No. 221", "cell": [[4.9550, 0.0000, 0.0000], [0.0000, 4.9550, 0.0000], [0.0000, 0.0000, 4.9550]], "species": ["Cr", "Cr", "Cr", "Rh", "F"], "frac_coords": [[0.0000, 0.0000, 0.5000], [0.0000, 0.5000, 0.0000], [0.5000, 0.0000, 0.0000], [0.0000, 0.0000, 0.0000], [0.5000, 0.5000, 0.5000]]}



{"formula": "CrRhF6", "functional": "GGA+U", "state": "optimized geometry", "sg": "C2/m, No. 12", "cell": [[2.4980, -4.5325, 0.0000], [2.4980, 4.5325, 0.0000], [-1.2156, 0.0000, 4.8477]], "species": ["Cr", "Rh", "F", "F", "F", "F", "F", "F"], "frac_coords": [[0.0000, 0.0000, 0.0000], [0.5000, 0.5000, 0.5000], [0.1063, 0.3866, 0.2424], [0.2415, 0.2415, 0.7499], [0.3866, 0.1063, 0.2424], [0.6134, 0.8937, 0.7576], [0.7585, 0.7585, 0.2501], [0.8937, 0.6134, 0.7576]]}



{"formula": "Cr3RhF", "functional": "GGA+U", "state": "optimized geometry", "sg": "Pm-3m, No. 221", "cell": [[4.3408, 0.0000, 0.0000], [0.0000, 4.3408, 0.0000], [0.0000, 0.0000, 4.3408]], "species": ["Cr", "Cr", "Cr", "Rh", "F"], "frac_coords": [[0.0000, 0.0000, 0.5000], [0.0000, 0.5000, 0.0000], [0.5000, 0.0000, 0.0000], [0.5000, 0.5000, 0.5000], [0.0000, 0.0000, 0.0000]]}



{"formula": "CrRhS2F", "functional": "GGA+U", "state": "optimized geometry", "sg": "P4/mmm, No. 123", "cell": [[4.6823, 0.0000, 0.0000], [0.0000, 4.6823, 0.0000], [0.0000, 0.0000, 4.0217]], "species": ["Cr", "Rh", "S", "S", "F"], "frac_coords": [[0.0000, 0.0000, 0.0000], [0.5000, 0.5000, 0.5000], [0.0000, 0.5000, 0.5000], [0.5000, 0.0000, 0.5000], [0.5000, 0.5000, 0.0000]]}



{"formula": "Cr2RhSF", "functional": "GGA+U", "state": "optimized geometry", "sg": "P4/mmm, No. 123", "cell": [[4.7072, 0.0000, 0.0000], [0.0000, 4.7072, 0.0000], [0.0000, 0.0000, 3.8771]], "species": ["Cr", "Cr", "Rh", "S", "F"], "frac_coords": [[0.0000, 0.5000, 0.0000], [0.5000, 0.0000, 0.0000], [0.0000, 0.0000, 0.5000], [0.5000, 0.5000, 0.0000], [0.5000, 0.5000, 0.5000]]}



{"formula": "CrRu2F", "functional": "GGA+U", "state": "optimized geometry", "sg": "I-42d, No. 122", "cell": [[-3.1478, 3.1478, 2.6986], [3.1478, -3.1478, 2.6986], [3.1478, 3.1478, -2.6986]], "species": ["Cr", "Cr", "Ru", "Ru", "Ru", "Ru", "F", "F"], "frac_coords": [[0.0000, 0.0000, 0.0000], [0.7500, 0.2500, 0.5000], [0.1322, 0.1250, 0.5072], [0.3750, 0.8678, 0.9928], [0.6178, 0.6250, 0.4928], [0.8750, 0.3822, 0.0072], [0.2500, 0.7500, 0.5000], [0.5000, 0.5000, 0.0000]]}



{"formula": "CrRu3F", "functional": "GGA+U", "state": "optimized geometry", "sg": "Pm-3m, No. 221", "cell": [[4.1523, 0.0000, 0.0000], [0.0000, 4.1523, 0.0000], [0.0000, 0.0000, 4.1523]], "species": ["Cr", "Ru", "Ru", "Ru", "F"], "frac_coords": [[0.0000, 0.0000, 0.0000], [0.0000, 0.5000, 0.5000], [0.5000, 0.0000, 0.5000], [0.5000, 0.5000, 0.0000], [0.5000, 0.5000, 0.5000]]}



{"formula": "Cr3RuF", "functional": "GGA+U", "state": "optimized geometry", "sg": "Pm-3m, No. 221", "cell": [[4.8798, 0.0000, 0.0000], [0.0000, 4.8798, 0.0000], [0.0000, 0.0000, 4.8798]], "species": ["Cr", "Cr", "Cr", "Ru", "F"], "frac_coords": [[0.0000, 0.0000, 0.5000], [0.0000, 0.5000, 0.0000], [0.5000, 0.0000, 0.0000], [0.0000, 0.0000, 0.0000], [0.5000, 0.5000, 0.5000]]}



{"formula": "CrRu2F", "functional": "GGA+U", "state": "optimized geometry", "sg": "Fm-3m, No. 225", "cell": [[0.0000, 2.9331, 2.9331], [2.9331, 0.0000, 2.9331], [2.9331, 2.9331, 0.0000]], "species": ["Cr", "Ru", "Ru", "F"], "frac_coords": [[0.0000, 0.0000, 0.0000], [0.2500, 0.2500, 0.2500], [0.7500, 0.7500, 0.7500], [0.5000, 0.5000, 0.5000]]}



{"formula": "Cr3RuF", "functional": "GGA+U", "state": "optimized geometry", "sg": "Pm-3m, No. 221", "cell": [[4.3248, 0.0000, 0.0000], [0.0000, 4.3248, 0.0000], [0.0000, 0.0000, 4.3248]], "species": ["Cr", "Cr", "Cr", "Ru", "F"], "frac_coords": [[0.0000, 0.0000, 0.5000], [0.0000, 0.5000, 0.0000], [0.5000, 0.0000, 0.0000], [0.5000, 0.5000, 0.5000], [0.0000, 0.0000, 0.0000]]}



{"formula": "CrRu3F", "functional": "GGA+U", "state": "optimized geometry", "sg": "Pm-3m, No. 221", "cell": [[4.5701, 0.0000, 0.0000], [0.0000, 4.5701, 0.0000], [0.0000, 0.0000, 4.5701]], "species": ["Cr", "Ru", "Ru", "Ru", "F"], "frac_coords": [[0.0000, 0.0000, 0.0000], [0.0000, 0.0000, 0.5000], [0.0000, 0.5000, 0.0000], [0.5000, 0.0000, 0.0000], [0.5000, 0.5000, 0.5000]]}



{"formula": "Cr2RuF", "functional": "GGA+U", "state": "optimized geometry", "sg": "I-42d, No. 122", "cell": [[-3.1305, 3.1305, 3.2696], [3.1305, -3.1305, 3.2696], [3.1305, 3.1305, -3.2696]], "species": ["Cr", "Cr", "Cr", "Cr", "Ru", "Ru", "F", "F"], "frac_coords": [[0.0794, 0.1250, 0.4544], [0.3750, 0.9206, 0.0456], [0.6706, 0.6250, 0.5456], [0.8750, 0.3294, 0.9544], [0.2500, 0.7500, 0.5000], [0.5000, 0.5000, 0.0000], [0.0000, 0.0000, 0.0000], [0.7500, 0.2500, 0.5000]]}



{"formula": "Cr2RuF", "functional": "GGA+U", "state": "optimized geometry", "sg": "Fm-3m, No. 225", "cell": [[0.0000, 3.1151, 3.1151], [3.1151, 0.0000, 3.1151], [3.1151, 3.1151, 0.0000]], "species": ["Cr", "Cr", "Ru", "F"], "frac_coords": [[0.2500, 0.2500, 0.2500], [0.7500, 0.7500, 0.7500], [0.0000, 0.0000, 0.0000], [0.5000, 0.5000, 0.5000]]}



{"formula": "CrRuS2F", "functional": "GGA+U", "state": "optimized geometry", "sg": "P4/mmm, No. 123", "cell": [[4.8268, 0.0000, 0.0000], [0.0000, 4.8268, 0.0000], [0.0000, 0.0000, 3.4933]], "species": ["Cr", "Ru", "S", "S", "F"], "frac_coords": [[0.0000, 0.0000, 0.0000], [0.5000, 0.5000, 0.0000], [0.0000, 0.5000, 0.5000], [0.5000, 0.0000, 0.5000], [0.0000, 0.0000, 0.5000]]}



{"formula": "CrRu2SF", "functional": "GGA+U", "state": "optimized geometry", "sg": "P4/mmm, No. 123", "cell": [[4.3693, 0.0000, 0.0000], [0.0000, 4.3693, 0.0000], [0.0000, 0.0000, 3.7514]], "species": ["Cr", "Ru", "Ru", "S", "F"], "frac_coords": [[0.0000, 0.0000, 0.0000], [0.0000, 0.5000, 0.5000], [0.5000, 0.0000, 0.5000], [0.5000, 0.5000, 0.0000], [0.0000, 0.0000, 0.5000]]}



{"formula": "CrSbRu2F", "functional": "GGA+U", "state": "optimized geometry", "sg": "P4/mmm, No. 123", "cell": [[4.9447, 0.0000, 0.0000], [0.0000, 4.9447, 0.0000], [0.0000, 0.0000, 4.2589]], "species": ["Cr", "Sb", "Ru", "Ru", "F"], "frac_coords": [[0.0000, 0.0000, 0.0000], [0.5000, 0.5000, 0.5000], [0.0000, 0.5000, 0.5000], [0.5000, 0.0000, 0.5000], [0.5000, 0.5000, 0.0000]]}



{"formula": "SrCrRu2F", "functional": "GGA+U", "state": "optimized geometry", "sg": "P4/mmm, No. 123", "cell": [[5.0180, 0.0000, 0.0000], [0.0000, 5.0180, 0.0000], [0.0000, 0.0000, 5.9069]], "species": ["Sr", "Cr", "Ru", "Ru", "F"], "frac_coords": [[0.0000, 0.0000, 0.0000], [0.0000, 0.0000, 0.5000], [0.0000, 0.5000, 0.0000], [0.5000, 0.0000, 0.0000], [0.5000, 0.5000, 0.5000]]}



{"formula": "SrCr2RuF", "functional": "GGA+U", "state": "optimized geometry", "sg": "P4/mmm, No. 123", "cell": [[5.7364, 0.0000, 0.0000], [0.0000, 5.7364, 0.0000], [0.0000, 0.0000, 4.2531]], "species": ["Sr", "Cr", "Cr", "Ru", "F"], "frac_coords": [[0.0000, 0.0000, 0.0000], [0.0000, 0.5000, 0.0000], [0.5000, 0.0000, 0.0000], [0.5000, 0.5000, 0.5000], [0.0000, 0.0000, 0.5000]]}



{"formula": "CrTeRuF2", "functional": "GGA+U", "state": "optimized geometry", "sg": "P4/mmm, No. 123", "cell": [[4.2368, 0.0000, 0.0000], [0.0000, 4.2368, 0.0000], [0.0000, 0.0000, 5.4816]], "species": ["Cr", "Te", "Ru", "F", "F"], "frac_coords": [[0.0000, 0.0000, 0.0000], [0.0000, 0.0000, 0.5000], [0.5000, 0.5000, 0.0000], [0.0000, 0.5000, 0.5000], [0.5000, 0.0000, 0.5000]]}



| no. | total energy (Ry/atom) |
| --- | --- |
| 1 | -0.4783 |
| 2 | -0.4269 |
| 3 | -0.4113 |
| 4 | -0.3822 |
| 5 | -0.3944 |
| 6 | -0.4637 |
| 7 | -0.3764 |
| 8 | -0.3952 |
| 9 | -0.4592 |
| 10 | -0.4198 |
| 11 | -0.3899 |
| 12 | -0.4580 |
| 13 | -0.3879 |
| 14 | -0.3964 |
| 15 | -0.4454 |
| 16 | -0.4419 |
| 17 | -0.4358 |
| 18 | -0.4518 |
| 19 | -0.4704 |
| 20 | -0.4198 |
| 21 | -0.4753 |
| 22 | -0.4625 |
| 23 | -0.3114 |
| 24 | -0.3767 |
| 25 | -0.4242 |
| 26 | -0.2899 |
| 27 | -0.3473 |
| 28 | -0.3045 |